1.
The following is a DFT calculation (GGA-PBE) of a relaxed MgScZn2 crystal.

a b c (Å): 4.612 4.612 3.416
angles (deg): 90.00 90.00 90.00
Element x y z (fractional)
Mg 0.500 0.500 0.000
Sc 0.000 0.000 0.000
Zn 0.500 0.000 0.500
Zn 0.000 0.500 0.500

Summary:
E = -0.1055 Ha/atom

***

2.
The following is a DFT calculation (GGA-PBE) of a relaxed MgSc2Zn crystal.

a b c (Å): 4.772 4.772 3.614
angles (deg): 90.00 90.00 90.00
Last column: magnetic moment on the atom in μB.
Element x y z (fractional)
Mg 0.000 0.000 0.000  0.00
Sc 0.500 0.000 0.500  0.09
Sc 0.000 0.500 0.500  0.08
Zn 0.500 0.500 0.000  0.00

Summary:
E = -0.1487 Ha/atom

***

3.
The following is a DFT calculation (GGA-PBE) of a relaxed MgSc2Zn5 crystal.

a b c (Å): 4.479 5.886 5.886
angles (deg): 62.30 90.00 90.00
Element x y z (fractional)
Mg 0.000 0.848 0.848
Sc 0.000 0.336 0.336
Sc 0.500 0.656 0.656
Zn 0.500 0.157 0.157
Zn 0.500 0.673 0.160
Zn 0.000 0.841 0.329
Zn 0.500 0.160 0.673
Zn 0.000 0.329 0.841

Summary:
E = -0.1041 Ha/atom

***

4.
The following is a DFT calculation (GGA-PBE) of a relaxed MgScZn2 crystal.

a b c (Å): 4.835 4.835 7.934
angles (deg): 90.00 90.00 120.00
Element x y z (fractional)
Mg 0.000 0.000 0.250
Mg 0.000 0.000 0.750
Sc 0.667 0.333 0.250
Sc 0.333 0.667 0.750
Zn 0.333 0.667 0.094
Zn 0.333 0.667 0.406
Zn 0.667 0.333 0.594
Zn 0.667 0.333 0.906

Summary:
E = -0.0923 Ha/atom

***

5.
The following is a DFT calculation (GGA-PBE) of a relaxed MgScZn2 crystal.

a b c (Å): 4.563 4.563 8.119
angles (deg): 90.00 90.00 120.00
Element x y z (fractional)
Mg 0.000 0.000 0.000
Mg 0.000 0.000 0.500
Sc 0.333 0.667 0.250
Sc 0.667 0.333 0.750
Zn 0.667 0.333 0.095
Zn 0.667 0.333 0.405
Zn 0.333 0.667 0.595
Zn 0.333 0.667 0.905

Summary:
E = -0.1056 Ha/atom

***

6.
The following is a DFT calculation (GGA-PBE) of a relaxed MgScZn2 crystal.

a b c (Å): 5.832 5.832 4.621
angles (deg): 90.00 90.00 113.72
Element x y z (fractional)
Mg 0.359 0.641 0.250
Mg 0.641 0.359 0.750
Sc 0.852 0.148 0.250
Sc 0.148 0.852 0.750
Zn 0.347 0.150 0.250
Zn 0.850 0.653 0.250
Zn 0.150 0.347 0.750
Zn 0.653 0.850 0.750

Summary:
E = -0.1054 Ha/atom

***

7.
The following is a DFT calculation (GGA-PBE) of a relaxed MgScZn2 crystal.

a b c (Å): 4.651 4.651 7.973
angles (deg): 90.00 90.00 120.00
Element x y z (fractional)
Mg 0.333 0.667 0.250
Mg 0.667 0.333 0.750
Sc 0.000 0.000 0.000
Sc 0.000 0.000 0.500
Zn 0.667 0.333 0.098
Zn 0.667 0.333 0.402
Zn 0.333 0.667 0.598
Zn 0.333 0.667 0.902

Summary:
E = -0.1026 Ha/atom

***

8.
The following is a DFT calculation (GGA-PBE) of a relaxed MgScZn2 crystal.

a b c (Å): 4.564 6.144 6.144
angles (deg): 57.58 90.00 90.00
Element x y z (fractional)
Mg 0.000 0.830 0.317
Mg 0.000 0.317 0.830
Sc 0.000 0.323 0.323
Sc 0.500 0.687 0.687
Zn 0.500 0.161 0.161
Zn 0.500 0.668 0.176
Zn 0.500 0.176 0.668
Zn 0.000 0.838 0.838

Summary:
E = -0.1034 Ha/atom

***

9.
The following is a DFT calculation (GGA-PBE) of a relaxed MgScZn2 crystal.

a b c (Å): 6.513 6.533 6.820
angles (deg): 90.00 90.00 90.00
Element x y z (fractional)
Mg 0.750 0.250 0.000
Mg 0.250 0.750 0.500
Mg 0.750 0.250 0.500
Mg 0.250 0.750 0.000
Sc 0.250 0.250 0.000
Sc 0.750 0.750 0.000
Sc 0.750 0.750 0.500
Sc 0.250 0.250 0.500
Zn 0.000 0.000 0.249
Zn 0.000 0.500 0.249
Zn 0.500 0.000 0.251
Zn 0.500 0.500 0.251
Zn 0.500 0.000 0.749
Zn 0.500 0.500 0.749
Zn 0.000 0.000 0.751
Zn 0.000 0.500 0.751

Summary:
E = -0.1055 Ha/atom

***

10.
The following is a DFT calculation (GGA-PBE) of a relaxed MgScZn2 crystal.

a b c (Å): 4.612 6.081 6.081
angles (deg): 122.01 90.00 90.00
Element x y z (fractional)
Mg 0.750 0.845 0.685
Mg 0.250 0.685 0.845
Sc 0.250 0.660 0.318
Sc 0.750 0.318 0.660
Zn 0.750 0.831 0.165
Zn 0.750 0.330 0.167
Zn 0.250 0.167 0.330
Zn 0.250 0.165 0.831

Summary:
E = -0.1032 Ha/atom

***

11.
The following is a DFT calculation (GGA-PBE) of a relaxed MgScZn2 crystal.

a b c (Å): 4.616 4.616 4.616
angles (deg): 60.00 60.00 60.00
Element x y z (fractional)
Mg 0.000 0.000 0.000
Sc 0.750 0.750 0.750
Zn 0.250 0.250 0.250
Zn 0.500 0.500 0.500

Summary:
E = -0.1011 Ha/atom

***

12.
The following is a DFT calculation (GGA-PBE) of a relaxed Mg5ZrSc2 crystal.

a b c (Å): 5.032 6.161 6.161
angles (deg): 68.45 90.00 90.00
Last column: magnetic moment on the atom in μB.
Element x y z (fractional)
Mg 0.500 0.124 0.124  0.00
Mg 0.500 0.627 0.142  0.00
Mg 0.000 0.854 0.378  0.00
Mg 0.500 0.142 0.627  0.00
Mg 0.000 0.378 0.854  0.00
Sc 0.000 0.353 0.353  0.03
Sc 0.500 0.644 0.644  0.08
Zr 0.000 0.878 0.878  0.11

Summary:
E = -0.1325 Ha/atom

***

13.
The following is a DFT calculation (GGA-PBE) of a relaxed MgZr2Sc crystal.

a b c (Å): 5.054 6.375 6.375
angles (deg): 116.86 90.00 90.00
Element x y z (fractional)
Mg 0.750 0.841 0.657
Mg 0.250 0.657 0.841
Sc 0.250 0.655 0.334
Sc 0.750 0.334 0.655
Zr 0.750 0.334 0.160
Zr 0.750 0.853 0.166
Zr 0.250 0.160 0.334
Zr 0.250 0.166 0.853

Summary:
E = -0.2279 Ha/atom

***

14.
The following is a DFT calculation (GGA-PBE) of a relaxed Mg2ZrSc crystal.

a b c (Å): 6.301 6.301 5.131
angles (deg): 90.00 90.00 118.17
Element x y z (fractional)
Mg 0.336 0.153 0.250
Mg 0.847 0.664 0.250
Mg 0.153 0.336 0.750
Mg 0.664 0.847 0.750
Sc 0.836 0.164 0.250
Sc 0.164 0.836 0.750
Zr 0.349 0.651 0.250
Zr 0.651 0.349 0.750

Summary:
E = -0.1634 Ha/atom

***

15.
The following is a DFT calculation (GGA-PBE) of a relaxed Mg2ZrSc crystal.

a b c (Å): 5.180 6.379 6.379
angles (deg): 59.82 90.00 90.00
Last column: magnetic moment on the atom in μB.
Element x y z (fractional)
Mg 0.500 0.162 0.162  0.00
Mg 0.500 0.670 0.170  0.00
Mg 0.500 0.170 0.670  0.00
Mg 0.000 0.833 0.833  0.00
Sc 0.000 0.330 0.330  0.13
Sc 0.500 0.663 0.663  0.10
Zr 0.000 0.828 0.344  0.23
Zr 0.000 0.344 0.828  0.22

Summary:
E = -0.1623 Ha/atom

***

16.
The following is a DFT calculation (GGA-PBE) of a relaxed Mg2ZrSc crystal.

a b c (Å): 5.080 6.479 6.479
angles (deg): 121.22 90.00 90.00
Element x y z (fractional)
Mg 0.250 0.330 0.168
Mg 0.250 0.820 0.171
Mg 0.750 0.168 0.330
Mg 0.750 0.171 0.820
Sc 0.750 0.675 0.333
Sc 0.250 0.333 0.675
Zr 0.250 0.817 0.687
Zr 0.750 0.687 0.817

Summary:
E = -0.1636 Ha/atom

***

17.
The following is a DFT calculation (GGA-PBE) of a relaxed MgZr2Sc crystal.

a b c (Å): 6.418 6.418 5.141
angles (deg): 90.00 90.00 120.76
Element x y z (fractional)
Mg 0.669 0.331 0.250
Mg 0.331 0.669 0.750
Sc 0.168 0.832 0.250
Sc 0.832 0.168 0.750
Zr 0.176 0.337 0.250
Zr 0.663 0.824 0.250
Zr 0.337 0.176 0.750
Zr 0.824 0.663 0.750

Summary:
E = -0.2275 Ha/atom

***

18.
The following is a DFT calculation (GGA-PBE) of a relaxed MgZr2Sc crystal.

a b c (Å): 5.200 6.449 6.449
angles (deg): 58.33 90.00 90.00
Element x y z (fractional)
Mg 0.000 0.828 0.333
Mg 0.000 0.333 0.828
Sc 0.000 0.334 0.334
Sc 0.500 0.670 0.670
Zr 0.500 0.667 0.161
Zr 0.500 0.166 0.166
Zr 0.500 0.161 0.667
Zr 0.000 0.842 0.842

Summary:
E = -0.2273 Ha/atom

***

19.
The following is a DFT calculation (GGA-PBE) of a relaxed SmMgTlSe3 crystal.

a b c (Å): 7.650 7.650 11.380
angles (deg): 90.00 90.00 147.54
Element x y z (fractional)
Mg 0.465 0.535 0.250
Mg 0.535 0.465 0.750
Se 0.371 0.629 0.062
Se 0.067 0.933 0.250
Se 0.371 0.629 0.438
Se 0.629 0.371 0.562
Se 0.933 0.067 0.750
Se 0.629 0.371 0.938
Sm 0.000 0.000 0.000
Sm 0.000 0.000 0.500
Tl 0.753 0.247 0.250
Tl 0.247 0.753 0.750

Summary:
E = -0.1640 Ha/atom

***

20.
The following is a DFT calculation (GGA-PBE) of a relaxed SmMgTlSe3 crystal.

a b c (Å): 11.391 4.279 14.622
angles (deg): 90.00 90.00 90.00
Element x y z (fractional)
Mg 0.266 0.750 0.214
Mg 0.766 0.750 0.286
Mg 0.234 0.250 0.714
Mg 0.734 0.250 0.786
Se 0.082 0.750 0.116
Se 0.458 0.750 0.125
Se 0.764 0.250 0.183
Se 0.264 0.250 0.317
Se 0.958 0.750 0.374
Se 0.582 0.750 0.384
Se 0.418 0.250 0.616
Se 0.042 0.250 0.626
Se 0.736 0.750 0.683
Se 0.236 0.750 0.817
Se 0.542 0.250 0.875
Se 0.918 0.250 0.884
Sm 0.016 0.250 0.242
Sm 0.516 0.250 0.258
Sm 0.484 0.750 0.742
Sm 0.984 0.750 0.758
Tl 0.281 0.250 0.000
Tl 0.719 0.750 0.000
Tl 0.781 0.250 0.500
Tl 0.219 0.750 0.500

Summary:
E = -0.1640 Ha/atom

***

21.
The following is a DFT calculation (GGA-PBE) of a relaxed SrTmMgSe3 crystal.

a b c (Å): 7.349 7.349 10.640
angles (deg): 90.00 90.00 147.44
Last column: magnetic moment on the atom in μB.
Element x y z (fractional)
Mg 0.522 0.478 0.250  0.01
Mg 0.478 0.522 0.750  0.01
Se 0.635 0.365 0.062  0.01
Se 0.910 0.090 0.250  0.01
Se 0.635 0.365 0.438  0.01
Se 0.365 0.635 0.562  0.01
Se 0.090 0.910 0.750  0.01
Se 0.365 0.635 0.938  0.01
Sr 0.237 0.763 0.250  0.03
Sr 0.763 0.237 0.750  0.03
Tm 0.000 0.000 0.000  0.24
Tm 0.000 0.000 0.500  0.24

Summary:
E = -0.1665 Ha/atom

***

22.
The following is a DFT calculation (GGA-PBE) of a relaxed MgTc2Se4 crystal.

a b c (Å): 7.613 7.613 7.613
angles (deg): 60.00 60.00 60.00
Last column: magnetic moment on the atom in μB.
Element x y z (fractional)
Mg 0.500 0.500 0.500  0.01
Mg 0.750 0.750 0.750  0.01
Se 0.886 0.886 0.341  0.04
Se 0.364 0.364 0.364  0.04
Se 0.909 0.364 0.364  0.02
Se 0.364 0.909 0.364  0.04
Se 0.341 0.886 0.886  0.02
Se 0.886 0.341 0.886  0.04
Se 0.886 0.886 0.886  0.04
Se 0.364 0.364 0.909  0.04
Tc 0.625 0.125 0.125  1.66
Tc 0.125 0.125 0.125  1.74
Tc 0.125 0.625 0.125  1.67
Tc 0.125 0.125 0.625  1.71

Summary:
E = -0.2024 Ha/atom

***

What total magnetic moment values result from the calculations? In sequence: 0.00; 0.27; 0.00; 0.01; 0.00; 0.02; 0.01; 0.01; 0.01; 0.00; 0.01; 0.39; 0.03; 0.06; 1.13; 0.07; 0.18; 0.20; 0.00; 0.01; 1.30; 8.00 Bohr magnetons per cell.